Entry 1:
The following is a GGA-PBE calculation of a relaxed Tb3SiAs2Rh9 crystal, from Alexandria.

Results
SG ... P-3m1

Cell lengths 6.345, 6.345, 8.358 Å; angles 90.00, 90.00, 120.00 degrees
Positions (direct):
Tb 0.333 0.667 0.705
Tb 0.000 0.000 0.000
Tb 0.667 0.333 0.295
Si 0.000 0.000 0.500
As 0.333 0.667 0.185
As 0.667 0.333 0.815
Rh 0.858 0.142 0.710
Rh 0.858 0.716 0.710
Rh 0.284 0.142 0.710
Rh 0.716 0.858 0.290
Rh 0.142 0.284 0.290
Rh 0.142 0.858 0.290
Rh 0.500 0.000 0.000
Rh 0.000 0.500 0.000
Rh 0.500 0.500 0.000

Entry 2:
The following is a GGA-PBE calculation of a relaxed Na2Pb5F12 crystal, from Alexandria.

Results
SG ... C2/m

Cell lengths 6.572, 7.517, 8.118 Å; angles 105.73, 90.00, 115.92 degrees
Positions (direct):
Na 0.773 0.000 0.000
Na 0.227 0.000 0.000
Pb 0.316 0.633 0.654
Pb 0.313 0.627 0.157
Pb 0.000 0.000 0.500
Pb 0.687 0.373 0.843
Pb 0.684 0.367 0.346
F 0.998 0.996 0.205
F 0.104 0.646 0.907
F 0.543 0.646 0.907
F 0.098 0.694 0.429
F 0.596 0.694 0.429
F 0.500 0.001 0.805
F 0.500 0.999 0.195
F 0.902 0.306 0.571
F 0.404 0.306 0.571
F 0.896 0.354 0.093
F 0.457 0.354 0.093
F 0.002 0.004 0.795

Entry 3:
The following is a GGA-PBE calculation of a relaxed Y2Al5Ru2Rh crystal, from Alexandria.

Results
SG ... P4/mbm
ΔE_f ... -558 meV per atom

Cell lengths 3.106, 10.631, 10.631 Å; angles 90.00, 90.00, 90.00 degrees
Positions (direct):
Y 0.000 0.686 0.186
Y 0.000 0.314 0.814
Y 0.000 0.186 0.314
Y 0.000 0.814 0.686
Al 0.500 0.192 0.051
Al 0.500 0.808 0.949
Al 0.500 0.051 0.808
Al 0.500 0.692 0.449
Al 0.500 0.949 0.192
Al 0.500 0.308 0.551
Al 0.500 0.551 0.692
Al 0.500 0.449 0.308
Al 0.500 0.500 0.000
Al 0.500 0.000 0.500
Ru 0.000 0.128 0.628
Ru 0.000 0.872 0.372
Ru 0.000 0.628 0.872
Ru 0.000 0.372 0.128
Rh 0.000 0.000 0.000
Rh 0.000 0.500 0.500

Entry 4:
The following is a GGA-PBE calculation of a relaxed Nb4Mo crystal, from Alexandria.

Results
SG ... P-42_1c
ΔE_f ... 449 meV per atom
ΔE to the lowest computed polymorph ... 0.0 meV per atom

Cell lengths 5.441, 5.441, 6.382 Å; angles 90.00, 90.00, 90.00 degrees
Positions (direct):
Nb 0.102 0.267 0.344
Nb 0.898 0.733 0.344
Nb 0.267 0.898 0.656
Nb 0.733 0.102 0.656
Nb 0.398 0.767 0.156
Nb 0.602 0.233 0.156
Nb 0.233 0.398 0.844
Nb 0.767 0.602 0.844
Mo 0.000 0.000 0.000
Mo 0.500 0.500 0.500

Entry 5:
The following is a GGA-PBE calculation of a relaxed Th2CoH crystal, from Alexandria.

Results
SG ... R-3m
ΔE to the lowest computed polymorph ... 0.0 meV per atom

Cell lengths 4.077, 4.077, 6.044 Å; angles 70.29, 70.29, 60.00 degrees
Positions (direct):
H 0.500 0.500 0.500
Co 0.000 0.000 0.000
Th 0.248 0.248 0.257
Th 0.752 0.752 0.743

Entry 6:
The following is a GGA-PBE calculation of a relaxed Mg6ZnIr3 crystal, from Alexandria.

Results
SG ... C2/m
ΔE_f ... -275 meV per atom

Cell lengths 8.681, 4.464, 10.140 Å; angles 90.00, 65.85, 90.00 degrees
Positions (direct):
Mg 0.651 0.000 0.852
Mg 0.673 0.000 0.547
Mg 0.825 0.500 0.292
Mg 0.175 0.500 0.708
Mg 0.327 0.000 0.453
Mg 0.349 0.000 0.148
Mg 0.151 0.500 0.352
Mg 0.173 0.500 0.047
Mg 0.325 0.000 0.792
Mg 0.675 0.000 0.208
Mg 0.827 0.500 0.953
Mg 0.849 0.500 0.648
Zn 0.500 0.500 0.500
Zn 0.000 0.000 0.000
Ir 0.504 0.500 0.747
Ir 0.500 0.500 0.000
Ir 0.496 0.500 0.253
Ir 0.004 0.000 0.247
Ir 0.000 0.000 0.500
Ir 0.996 0.000 0.753

Entry 7:
The following is a GGA-PBE calculation of a relaxed KUHg2Cl6 crystal, from Alexandria.

Results
SG ... Fm-3m

Cell lengths 8.197, 8.197, 8.197 Å; angles 60.00, 60.00, 60.00 degrees
Positions (direct):
K 0.500 0.500 0.500
U 0.000 0.000 0.000
Hg 0.750 0.750 0.750
Hg 0.250 0.250 0.250
Cl 0.219 0.781 0.781
Cl 0.219 0.781 0.219
Cl 0.219 0.219 0.781
Cl 0.781 0.781 0.219
Cl 0.781 0.219 0.219
Cl 0.781 0.219 0.781

Entry 8:
The following is a GGA-PBE calculation of a relaxed LiHo8Zn2 crystal, from Alexandria.

Results
SG ... C2/m
ΔE_f ... -69 meV per atom

Cell lengths 5.128, 6.869, 9.137 Å; angles 106.59, 106.30, 90.00 degrees
Positions (direct):
Li 0.500 0.000 0.000
Ho 0.406 0.535 0.813
Ho 0.668 0.972 0.337
Ho 0.807 0.695 0.613
Ho 0.971 0.228 0.943
Ho 0.193 0.305 0.387
Ho 0.332 0.028 0.663
Ho 0.594 0.465 0.187
Ho 0.029 0.772 0.057
Zn 0.814 0.287 0.628
Zn 0.186 0.713 0.372

Asked for energy across the records above, the calculation gives -0.2508 -0.1740 -0.2320 -0.3592 -0.2415 -0.1476 -0.1390 -0.1398 hartree per atom in order.